(1)
Ca2MgPaAs4: relaxed, PBE-GGA.

- space group = No. 10
- uncorrected energy (eV per atom) = -5.141

Cell lengths 4.2647, 6.8529, 7.3743 Å; angles 111.02, 90.00, 90.00 degrees
With the nearest neighbours (Å) after each atom.
Positions (direct):
Ca (0.5000, 0.0000, 0.5000)  6 As 2.97-3.02
Mg (0.5000, 0.5000, 0.0000)  6 As 2.86-2.90
As (0.0000, 0.7450, 0.2285)  1 Pa 2.83, 2 Mg 2.86, 3 Ca 3.02-3.04
As (0.0000, 0.2550, 0.7715)  1 Pa 2.83, 2 Mg 2.86, 3 Ca 3.02-3.04
As (0.5000, 0.2382, 0.2333)  2 Pa 2.86, 1 Mg 2.90, 3 Ca 2.97-3.02
As (0.5000, 0.7618, 0.7667)  2 Pa 2.86, 1 Mg 2.90, 3 Ca 2.97-3.02
Pa (0.0000, 0.0000, 0.0000)  6 As 2.83-2.86
Ca (0.0000, 0.5000, 0.5000)  6 As 3.02-3.04


(2)
Ca3MgPa2As6: relaxed, PBE-GGA.

- space group = No. 12
- uncorrected energy (eV per atom) = -5.620

Cell lengths 7.1982, 7.1982, 7.2458 Å; angles 99.51, 99.51, 119.96 degrees
With the nearest neighbours (Å) after each atom.
Positions (direct):
Ca (0.1642, 0.8358, 0.5000)  6 As 3.01-3.05
As (0.4169, 0.0768, 0.2299)  2 Pa 2.84-2.85, 1 Mg 2.91, 3 Ca 3.01-3.05
Pa (0.6672, 0.3328, 0.0000)  6 As 2.84-2.86
As (0.5831, 0.9232, 0.7701)  2 Pa 2.84-2.85, 1 Mg 2.91, 3 Ca 3.01-3.05
As (0.9232, 0.5831, 0.7701)  2 Pa 2.84-2.85, 1 Mg 2.91, 3 Ca 3.01-3.05
As (0.7365, 0.7365, 0.2312)  2 Pa 2.86, 1 Mg 2.92, 3 Ca 2.98-3.02
As (0.2635, 0.2635, 0.7688)  2 Pa 2.86, 1 Mg 2.92, 3 Ca 2.98-3.02
As (0.0768, 0.4169, 0.2299)  2 Pa 2.84-2.85, 1 Mg 2.91, 3 Ca 3.01-3.05
Pa (0.3328, 0.6672, 0.0000)  6 As 2.84-2.86
Mg (0.0000, 0.0000, 0.0000)  6 As 2.91-2.92
Ca (0.5000, 0.5000, 0.5000)  6 As 2.98-3.05
Ca (0.8358, 0.1642, 0.5000)  6 As 3.01-3.05


(3)
Ca3MgAs2Pd9: relaxed, PBE-GGA.

- space group = No. 164
- uncorrected energy (eV per atom) = -4.745

Cell lengths 6.0100, 6.0100, 10.7361 Å; angles 90.00, 90.00, 120.00 degrees
With the nearest neighbours (Å) after each atom.
Positions (direct):
As (0.6667, 0.3333, 0.8395)  6 Pd 2.38-2.45
Pd (0.5000, 0.0000, 0.0000)  2 As 2.45
As (0.3333, 0.6667, 0.1605)  6 Pd 2.38-2.45
Pd (0.8510, 0.7021, 0.7090)  1 As 2.38
Pd (0.1490, 0.8510, 0.2910)  1 As 2.38
Pd (0.5000, 0.5000, 0.0000)  2 As 2.45
Mg (0.0000, 0.0000, 0.5000)  6 Pd 2.73
Pd (0.2979, 0.1490, 0.7090)  1 As 2.38
Ca (0.6667, 0.3333, 0.2614)  9 Pd 3.03-3.30
Ca (0.3333, 0.6667, 0.7386)  9 Pd 3.03-3.30
Pd (0.7021, 0.8510, 0.2910)  1 As 2.38
Ca (0.0000, 0.0000, 0.0000)  6 Pd 3.00
Pd (0.1490, 0.2979, 0.2910)  1 As 2.38
Pd (0.8510, 0.1490, 0.7090)  1 As 2.38
Pd (0.0000, 0.5000, 0.0000)  2 As 2.45


(4)
Ca2MgAs4Pd3: relaxed, PBE-GGA.

- space group = No. 115
- uncorrected energy (eV per atom) = -4.740

Cell lengths 4.2411, 4.2411, 11.1238 Å; angles 90.00, 90.00, 90.00 degrees
With the nearest neighbours (Å) after each atom.
Positions (direct):
As (0.0000, 0.5000, 0.3547)  3 Pd 2.48-2.67, 2 Mg 2.67
As (0.5000, 0.0000, 0.6453)  3 Pd 2.48-2.67, 2 Mg 2.67
As (0.5000, 0.5000, 0.0000)  4 Pd 2.58
Pd (0.0000, 0.0000, 0.5000)  4 As 2.67
Pd (0.5000, 0.0000, 0.8687)  5 As 2.48-2.58
Ca (0.5000, 0.0000, 0.2458)  8 As 3.23-3.46, 6 Pd 3.26-3.53, 2 Mg 3.53
Pd (0.0000, 0.5000, 0.1313)  5 As 2.48-2.58
As (0.0000, 0.0000, 0.0000)  4 Pd 2.58
Mg (0.5000, 0.5000, 0.5000)  4 As 2.67
Ca (0.0000, 0.5000, 0.7542)  8 As 3.23-3.46, 6 Pd 3.26-3.53, 2 Mg 3.53


Table of formation energy (eV/atom), in record order: -0.929; -1.079; -0.503; -0.763